Material: Os2RuI
Method: DFT, PBE
State: optimized geometry

Cell: 4.523 4.523 4.523 Å, 60.00 60.00 60.00°
Fractional positions:
Os1 0.250 0.250 0.250
Os2 0.750 0.750 0.750
Ru1 0.000 0.000 0.000
I1 0.500 0.500 0.500

Its energy above the most stable polymorph in this dataset is 0 meV per atom. The raw total energy is -27.42 eV per formula unit. As for the formation energy without anion corrections: 141.4 kJ/mol of atoms. The calculation puts the density at 15.44 g/cm3. Its space group is Fm-3m. The value obtained for the density of states at the Fermi level is 8.53 states/eV/cell.



Material: SbOsRuI2
Method: DFT, PBE
State: optimized geometry

Cell: 5.362 5.362 5.058 Å, 90.00 90.00 90.00°
Fractional positions:
Sb1 0.000 0.000 0.000
Os1 0.500 0.500 0.000
Ru1 0.000 0.000 0.500
I1 0.000 0.500 0.500
I2 0.500 0.000 0.500

Its energy above the most stable polymorph in this dataset is 98 meV per atom. The raw total energy is -19.84 eV per formula unit. As for the formation energy without anion corrections: 152.3 kJ/mol of atoms. The calculation puts the density at 7.61 g/cm3. Its space group is P4/mmm. The value obtained for the density of states at the Fermi level is 4.14 states/eV/cell.



Material: SbOsRuI2
Method: DFT, PBE
State: optimized geometry

Cell: 5.504 5.504 4.995 Å, 90.00 90.00 90.00°
Fractional positions:
Sb1 0.000 0.000 0.000
Os1 0.000 0.000 0.500
Ru1 0.500 0.500 0.000
I1 0.000 0.500 0.500
I2 0.500 0.000 0.500

Its energy above the most stable polymorph in this dataset is 0 meV per atom. The raw total energy is -20.33 eV per formula unit. As for the formation energy without anion corrections: 142.8 kJ/mol of atoms. The calculation puts the density at 7.32 g/cm3. Its space group is P4/mmm. The value obtained for the density of states at the Fermi level is 4.46 states/eV/cell.